(1)
CaSe2: optimized geometry, PBEsol.

abc: 4.8084 4.8084 4.8084
angles: 60.00 60.00 60.00
Closest atoms and distances in Å follow each position.
Element x y z (fractional)
Ca  0.0000  0.0000  0.0000  8 Se 2.94
Se  0.2500  0.2500  0.2500  4 Ca 2.94
Se  0.7500  0.7500  0.7500  4 Ca 2.94

E_form (uncorrected)	-0.88	eV/atom
volume	26.20	A^3/atom
M_tot	0.002	μB/f.u.


(2)
CaSe2: optimized geometry, PBEsol.

abc: 5.8802 5.8802 5.8802
angles: 60.00 60.00 60.00
Closest atoms and distances in Å follow each position.
Element x y z (fractional)
Ca  0.1250  0.1250  0.1250  12 Se 3.45, 4 Ca 3.60
Ca  0.8750  0.8750  0.8750  12 Se 3.45, 4 Ca 3.60
Se  0.0000  0.5000  0.5000  6 Se 2.94
Se  0.5000  0.0000  0.5000  6 Se 2.94
Se  0.5000  0.5000  0.0000  6 Se 2.94
Se  0.5000  0.5000  0.5000  6 Se 2.94

E_form (uncorrected)	-0.45	eV/atom
volume	23.96	A^3/atom
M_tot	0.000	μB/f.u.


(3)
CaSiSe2: optimized geometry, PBEsol.

abc: 4.8254 4.8254 3.5337
angles: 90.14 90.14 90.04
Closest atoms and distances in Å follow each position.
Element x y z (fractional)
Ca  0.0000  0.0000  0.0000  8 Se 2.99
Si  0.5000  0.5000  0.0000  8 Se 2.99
Se  0.0000  0.5000  0.5000  4 Ca 2.99, 4 Si 2.99
Se  0.5000  0.0000  0.5000  4 Ca 2.99, 4 Si 2.99

E_form (uncorrected)	-0.67	eV/atom
volume	20.57	A^3/atom
M_tot	0.000	μB/f.u.


(4)
CaSiSe2: optimized geometry, PBEsol.

abc: 8.1219 8.1219 8.1219
angles: 30.24 30.24 30.24
Closest atoms and distances in Å follow each position.
Element x y z (fractional)
Ca  0.0000  0.0000  0.0000  6 Se 2.88
Si  0.5000  0.5000  0.5000  2 Se 2.35
Se  0.3989  0.3989  0.3989  1 Si 2.35
Se  0.6011  0.6011  0.6011  1 Si 2.35

E_form (uncorrected)	-0.44	eV/atom
volume	30.10	A^3/atom
M_tot	0.000	μB/f.u.


(5)
SrCaSe2: optimized geometry, PBEsol.

abc: 7.7453 7.7453 7.7453
angles: 150.89 150.54 41.90
Closest atoms and distances in Å follow each position.
Element x y z (fractional)
Sr  0.0000  0.0000  0.0000  6 Se 3.08-3.14
Ca  0.2505  0.7505  0.5000  6 Se 2.99-3.01
Se  0.4072  0.4072  0.0000  2 Ca 2.99, 4 Sr 3.08
Se  0.6688  0.1688  0.5000  4 Ca 3.01, 2 Sr 3.14

E_form (uncorrected)	-1.86	eV/atom
offset from the most stable computed form	18.4	kJ per mole of atoms
volume	27.73	A^3/atom
M_tot	0.000	μB/f.u.


(6)
SrCaSe2: optimized geometry, PBEsol.

abc: 3.7102 3.7023 7.3988
angles: 90.00 96.44 90.00
Closest atoms and distances in Å follow each position.
Element x y z (fractional)
Sr  0.0000  0.0000  0.0000  8 Se 3.19-3.28
Ca  0.0000  0.0000  0.5000  4 Se 2.99
Se  0.4637  0.5000  0.7427  2 Ca 2.99, 4 Sr 3.19-3.28
Se  0.5363  0.5000  0.2573  2 Ca 2.99, 4 Sr 3.19-3.28

E_form (uncorrected)	-1.77	eV/atom
offset from the most stable computed form	26.9	kJ per mole of atoms
volume	25.25	A^3/atom
M_tot	0.000	μB/f.u.


(7)
SrCaSe2: optimized geometry, PBEsol.

abc: 4.2804 4.2804 6.0529
angles: 90.00 90.00 90.00
Closest atoms and distances in Å follow each position.
Element x y z (fractional)
Sr  0.0000  0.0000  0.0000  6 Se 3.03
Ca  0.5000  0.5000  0.5000  6 Se 3.03
Se  0.0000  0.0000  0.5000  2 Sr 3.03, 4 Ca 3.03
Se  0.5000  0.5000  0.0000  2 Ca 3.03, 4 Sr 3.03

E_form (uncorrected)	-2.03	eV/atom
offset from the most stable computed form	1.6	kJ per mole of atoms
volume	27.73	A^3/atom
M_tot	0.000	μB/f.u.


(8)
SrCaSe2: optimized geometry, PBEsol.

abc: 5.2027 5.2027 5.2027
angles: 60.00 60.00 60.00
Closest atoms and distances in Å follow each position.
Element x y z (fractional)
Sr  0.0000  0.0000  0.0000  4 Ca 3.19, 4 Se 3.19
Ca  0.7500  0.7500  0.7500  4 Se 3.19, 4 Sr 3.19
Se  0.2500  0.2500  0.2500  4 Se 3.19, 4 Sr 3.19
Se  0.5000  0.5000  0.5000  4 Ca 3.19, 4 Se 3.19

E_form (uncorrected)	-0.90	eV/atom
offset from the most stable computed form	111.1	kJ per mole of atoms
volume	24.90	A^3/atom
M_tot	0.000	μB/f.u.


(9)
SrCaSe2: optimized geometry, PBEsol.

abc: 7.3994 7.3994 7.3994
angles: 33.54 33.54 33.54
Closest atoms and distances in Å follow each position.
Element x y z (fractional)
Sr  0.0000  0.0000  0.0000  6 Se 3.07
Ca  0.5000  0.5000  0.5000  6 Se 2.97
Se  0.2456  0.2456  0.2456  3 Ca 2.97, 3 Sr 3.07
Se  0.7544  0.7544  0.7544  3 Ca 2.97, 3 Sr 3.07

E_form (uncorrected)	-2.05	eV/atom
offset from the most stable computed form	0.0	kJ per mole of atoms
volume	27.55	A^3/atom
M_tot	0.000	μB/f.u.


(10)
Sr2CaSe: optimized geometry, PBEsol.

abc: 5.8356 5.8356 5.8356
angles: 60.00 60.00 60.00
Closest atoms and distances in Å follow each position.
Element x y z (fractional)
Sr  0.0000  0.0000  0.0000  4 Ca 3.57, 4 Sr 3.57
Sr  0.2500  0.2500  0.2500  4 Se 3.57, 4 Sr 3.57
Ca  0.7500  0.7500  0.7500  4 Sr 3.57, 4 Se 3.57
Se  0.5000  0.5000  0.5000  4 Ca 3.57, 4 Sr 3.57

E_form (uncorrected)	-0.23	eV/atom
volume	35.13	A^3/atom
M_tot	0.000	μB/f.u.


(11)
Sr2CaSe: optimized geometry, PBEsol.

abc: 3.8171 3.8171 10.0006
angles: 90.00 90.00 90.00
Closest atoms and distances in Å follow each position.
Element x y z (fractional)
Sr  0.0000  0.0000  0.1808  4 Se 3.25, 1 Sr 3.62
Sr  0.0000  0.0000  0.8192  4 Se 3.25, 1 Sr 3.62
Ca  0.5000  0.5000  0.5000  4 Ca 3.82, 8 Sr 4.18
Se  0.5000  0.5000  0.0000  8 Sr 3.25

E_form (uncorrected)	-0.87	eV/atom
volume	36.43	A^3/atom
M_tot	0.000	μB/f.u.


(12)
SrCa2ZnSe: optimized geometry, PBEsol.

abc: 5.4131 5.4131 6.3101
angles: 90.00 90.00 90.00
Closest atoms and distances in Å follow each position.
Element x y z (fractional)
Sr  0.0000  0.0000  0.0000  4 Zn 3.83, 8 Ca 4.16
Ca  0.0000  0.5000  0.5000  2 Se 2.71
Ca  0.5000  0.0000  0.5000  2 Se 2.71
Zn  0.5000  0.5000  0.0000  2 Se 3.16
Se  0.5000  0.5000  0.5000  4 Ca 2.71

E_form (uncorrected)	-0.37	eV/atom
volume	36.98	A^3/atom
M_tot	0.000	μB/f.u.